This record from the Alexandria database describes Ag2HgRhF after structural relaxation. The functional is PBE.

Cell lengths 5.1262, 5.1262, 5.1900 Å; angles 90.00, 90.00, 90.00 degrees
Closest atoms and distances in Å follow each position.
Sites, in units of the cell vectors:
Ag (0.0000, 0.5000, 0.0000)  2 Rh 2.56
Ag (0.5000, 0.0000, 0.0000)  2 Rh 2.56
Hg (0.0000, 0.0000, 0.5000)  2 Rh 2.59
Rh (0.0000, 0.0000, 0.0000)  4 Ag 2.56, 2 Hg 2.59
F (0.5000, 0.5000, 0.5000)  4 Hg 3.62, 8 Ag 3.65

Properties
As for the space group: P4/mmm, No. 123. The calculation puts the formation energy from raw total energies at 545 meV per atom.

This record from the Alexandria database describes BaCaBr after structural relaxation. The functional is PBE.

Cell lengths 5.7101, 5.7101, 5.7101 Å; angles 60.00, 60.00, 60.00 degrees
Closest atoms and distances in Å follow each position.
Sites, in units of the cell vectors:
Ba (0.0000, 0.0000, 0.0000)  4 Br 3.50
Ca (0.5000, 0.5000, 0.5000)  4 Br 3.50
Br (0.2500, 0.2500, 0.2500)  4 Ca 3.50, 4 Ba 3.50

Properties
As for the space group: F-43m, No. 216. The calculation puts the formation energy from raw total energies at -597 meV per atom.

This record from the Alexandria database describes SiMoAu2 after structural relaxation. The functional is PBE.

Cell lengths 5.1418, 5.1418, 2.8286 Å; angles 90.00, 90.00, 117.15 degrees
Closest atoms and distances in Å follow each position.
Sites, in units of the cell vectors:
Si (0.0000, 0.0000, 0.0000)  2 Mo 2.68, 2 Si 2.83, 8 Au 2.93
Mo (0.5000, 0.5000, 0.0000)  2 Si 2.68, 2 Mo 2.83, 8 Au 2.93
Au (0.0000, 0.5000, 0.5000)  4 Au 2.68-2.83, 4 Mo 2.93, 4 Si 2.93
Au (0.5000, 0.0000, 0.5000)  4 Au 2.68-2.83, 4 Mo 2.93, 4 Si 2.93

Properties
As for the space group: Cmmm, No. 65. The calculation puts the formation energy from raw total energies at 260 meV per atom.

This record from the Alexandria database describes Ba4CaAg after structural relaxation. The functional is PBE.

Cell lengths 4.2221, 4.2221, 16.8383 Å; angles 90.00, 90.00, 90.00 degrees
Closest atoms and distances in Å follow each position.
Sites, in units of the cell vectors:
Ba (0.0000, 0.0000, 0.1159)  4 Ag 3.57, 1 Ba 3.90
Ba (0.0000, 0.0000, 0.8841)  4 Ag 3.57, 1 Ba 3.90
Ba (0.5000, 0.5000, 0.3223)  8 Ba 4.22-4.58, 4 Ca 4.23
Ba (0.5000, 0.5000, 0.6777)  8 Ba 4.22-4.58, 4 Ca 4.23
Ca (0.0000, 0.0000, 0.5000)  4 Ca 4.22, 8 Ba 4.23
Ag (0.5000, 0.5000, 0.0000)  8 Ba 3.57

Properties
Its formation energy is -0.060 eV/atom. As for the space group: P4/mmm, No. 123.